[1]
First-principles (meta-GGA SCAN) data for MnBe7 at its PBEsol-relaxed geometry, as listed in the Alexandria database.

a b c (Å): 6.426 6.426 6.426
angles (deg): 90.00 90.00 90.00
Space group Fm-3m (No. 225)
One atom of each set of equivalent atoms:
Mn (0.000, 0.000, 0.000) x4
Be (0.000, 0.000, 0.500) x4
Be (0.000, 0.250, 0.250) x24

Computed properties:
DOS(E_F) = 2.164 states/eV/f.u.
calculated formation energy = -0.02 eV per atom
density = 2.95 g cm⁻³
M_tot = 0.2345 μB per atom



[2]
First-principles (meta-GGA SCAN) data for MnBeMo2 at its PBEsol-relaxed geometry, as listed in the Alexandria database.

a b c (Å): 5.247 6.603 2.868
angles (deg): 90.00 90.00 90.00
Space group Cmmm (No. 65)
One atom of each set of equivalent atoms:
Mn (0.000, 0.000, 0.000) x2
Be (0.000, 0.500, 0.000) x2
Mo (0.250, 0.250, 0.500) x4

Computed properties:
DOS(E_F) = 2.859 states/eV/f.u.
calculated formation energy = 0.18 eV per atom
density = 8.55 g cm⁻³
M_tot = 0.0003 μB per atom



[3]
First-principles (meta-GGA SCAN) data for MnBe4Mo at its PBEsol-relaxed geometry, as listed in the Alexandria database.

a b c (Å): 6.032 6.032 6.032
angles (deg): 90.00 90.00 90.00
Space group F-43m (No. 216)
One atom of each set of equivalent atoms:
Mn (0.000, 0.000, 0.000) x4
Be (0.125, 0.125, 0.625) x16
Mo (0.250, 0.250, 0.250) x4

Computed properties:
DOS(E_F) = 2.036 states/eV/f.u.
calculated formation energy = -0.25 eV per atom
density = 5.66 g cm⁻³
M_tot = 0.0655 μB per atom



[4]
First-principles (meta-GGA SCAN) data for MnBe2Mo at its PBEsol-relaxed geometry, as listed in the Alexandria database.

a b c (Å): 4.088 4.088 2.626
angles (deg): 90.00 90.00 90.00
Space group P4/mmm (No. 123)
One atom of each set of equivalent atoms:
Mn (0.000, 0.000, 0.000) x1
Be (0.000, 0.500, 0.500) x2
Mo (0.500, 0.500, 0.000) x1

Computed properties:
DOS(E_F) = 1.366 states/eV/f.u.
calculated formation energy = -0.05 eV per atom
density = 6.39 g cm⁻³
M_tot = 0.8797 μB per atom



[5]
First-principles (meta-GGA SCAN) data for TiMnBe2Mo at its PBEsol-relaxed geometry, as listed in the Alexandria database.

a b c (Å): 4.353 4.353 4.265
angles (deg): 90.00 90.00 90.00
Space group P4/mmm (No. 123)
One atom of each set of equivalent atoms:
Ti (0.000, 0.000, 0.000) x1
Mn (0.500, 0.500, 0.500) x1
Be (0.000, 0.500, 0.000) x2
Mo (0.000, 0.000, 0.500) x1

Computed properties:
DOS(E_F) = 2.892 states/eV/f.u.
calculated formation energy = 1.30 eV per atom
density = 4.45 g cm⁻³
M_tot = 0.8437 μB per atom



[6]
First-principles (meta-GGA SCAN) data for Mn2BeN at its PBEsol-relaxed geometry, as listed in the Alexandria database.

a b c (Å): 5.099 5.099 5.099
angles (deg): 90.00 90.00 90.00
Space group Fm-3m (No. 225)
One atom of each set of equivalent atoms:
Mn (0.250, 0.250, 0.250) x8
Be (0.000, 0.000, 0.000) x4
N (0.000, 0.000, 0.500) x4

Computed properties:
uncorrected formation energy = 0.653 eV/atom
DOS(E_F) = 2.350 states/eV/f.u.
density = 6.66 g cm⁻³
M_tot = 0.7488 μB per atom



[7]
First-principles (meta-GGA SCAN) data for Mn3BeN at its PBEsol-relaxed geometry, as listed in the Alexandria database.

a b c (Å): 3.656 3.656 3.656
angles (deg): 90.00 90.00 90.00
Space group Pm-3m (No. 221)
One atom of each set of equivalent atoms:
Mn (0.000, 0.000, 0.500) x3
Be (0.500, 0.500, 0.500) x1
N (0.000, 0.000, 0.000) x1

Computed properties:
uncorrected formation energy = -0.210 eV/atom
DOS(E_F) = 3.363 states/eV/f.u.
density = 6.39 g cm⁻³
M_tot = 0.8706 μB per atom



[8]
First-principles (meta-GGA SCAN) data for MnBeSN2 at its PBEsol-relaxed geometry, as listed in the Alexandria database.

a b c (Å): 3.455 3.455 5.023
angles (deg): 90.00 90.00 90.00
Space group P4/mmm (No. 123)
One atom of each set of equivalent atoms:
Mn (0.000, 0.000, 0.000) x1
Be (0.500, 0.500, 0.500) x1
S (0.000, 0.000, 0.500) x1
N (0.000, 0.500, 0.000) x2

Computed properties:
uncorrected formation energy = 0.554 eV/atom
DOS(E_F) = 2.562 states/eV/f.u.
density = 3.43 g cm⁻³
M_tot = 0.0014 μB per atom



What did the fourth record say?
First-principles (meta-GGA SCAN) data for MnBe2Mo at its PBEsol-relaxed geometry, as listed in the Alexandria database.

a b c (Å): 4.088 4.088 2.626
angles (deg): 90.00 90.00 90.00
Space group P4/mmm (No. 123)
One atom of each set of equivalent atoms:
Mn (0.000, 0.000, 0.000) x1
Be (0.000, 0.500, 0.500) x2
Mo (0.500, 0.500, 0.000) x1

Computed properties:
DOS(E_F) = 1.366 states/eV/f.u.
calculated formation energy = -0.05 eV per atom
density = 6.39 g cm⁻³
M_tot = 0.8797 μB per atom



M_tot of number 4 (MnBe2Mo)?
0.8797 μB per atom